[1]
First-principles (GGA-PBE) data for a geometry-optimized MnAl6Fe5 structure, as listed in the Alexandria database.

Cell: 6.4500 6.4500 5.8031 Å, 90.00 90.00 143.23°
Sites, in units of the cell vectors:
Mn 0.0000 0.0000 0.0000
Al 0.1712 0.8288 0.2548
Al 0.1712 0.8288 0.7452
Al 0.5000 0.5000 0.2624
Al 0.5000 0.5000 0.7376
Al 0.8288 0.1712 0.2548
Al 0.8288 0.1712 0.7452
Fe 0.0000 0.0000 0.5000
Fe 0.3346 0.6654 0.5000
Fe 0.3391 0.6609 0.0000
Fe 0.6609 0.3391 0.0000
Fe 0.6654 0.3346 0.5000

- total energy (eV per atom) = -6.48
- calculated volume (Å³ per cell) = 144.5
- space-group type = No. 65
- DFT formation energy (eV/f.u.) = -3.82

***

[2]
First-principles (GGA-PBE) data for a geometry-optimized Mg2SbRh structure, as listed in the Alexandria database.

Cell: 3.2121 3.2121 7.9900 Å, 90.00 90.00 90.00°
Sites, in units of the cell vectors:
Mg 0.0000 0.0000 0.0000
Mg 0.5000 0.5000 0.2937
Sb 0.5000 0.5000 0.6949
Rh 0.0000 0.0000 0.5029

- energy relative to the elements, uncorrected (eV/atom) = -0.26
- total energy (eV per atom) = -3.92
- calculated volume (Å³ per cell) = 82.4
- space-group type = No. 99

***

[3]
First-principles (GGA-PBE) data for a geometry-optimized HoTl2Se3 structure, as listed in the Alexandria database.

Cell: 7.2845 7.2845 8.0423 Å, 98.59 98.59 120.09°
Sites, in units of the cell vectors:
Ho 0.1668 0.8332 0.0000
Ho 0.8332 0.1668 0.0000
Tl 0.0000 0.0000 0.5000
Tl 0.3309 0.6691 0.5000
Tl 0.5000 0.5000 0.0000
Tl 0.6691 0.3309 0.5000
Se 0.0906 0.4312 0.7920
Se 0.2290 0.2290 0.2093
Se 0.4312 0.0906 0.7920
Se 0.5688 0.9094 0.2080
Se 0.7710 0.7710 0.7907
Se 0.9094 0.5688 0.2080

- energy relative to the elements, uncorrected (eV/atom) = -0.98
- total energy (eV per atom) = -4.27
- calculated volume (Å³ per cell) = 352.3
- space-group type = No. 12

***

Number 1: magnetic moment 5.3 Bohr magnetons per cell. Number 2: magnetic moment 0.0 Bohr magnetons per cell. Number 3: magnetic moment 0.0 Bohr magnetons per cell.